1.
An optimized crystal structure of Ba2CaYTe4. Source: Alexandria via LeMat-Bulk, functional PBE.

Lattice parameters (Å, degrees): 8.0876 4.6578 8.2499 90.00 108.99 90.00
Closest atoms and distances in Å follow each position.
Fractional coordinates of all 8 atoms:
Ba (0.0000, 0.0000, 0.0000)  6 Te 3.50-3.51
Ba (0.5000, 0.5000, 0.0000)  6 Te 3.45-3.46
Ca (0.0000, 0.5000, 0.5000)  6 Te 3.20-3.21
Y (0.5000, 0.0000, 0.5000)  6 Te 3.15-3.16
Te (0.2448, 0.0000, 0.7184)  1 Y 3.15, 2 Ca 3.20, 3 Ba 3.46-3.51
Te (0.2655, 0.5000, 0.2831)  2 Y 3.16, 1 Ca 3.21, 3 Ba 3.45-3.50
Te (0.7345, 0.5000, 0.7169)  2 Y 3.16, 1 Ca 3.21, 3 Ba 3.45-3.50
Te (0.7552, 0.0000, 0.2816)  1 Y 3.15, 2 Ca 3.20, 3 Ba 3.46-3.51

Output
Its total magnetization is 0.00 μB per cell. The density of states at the Fermi level comes out at 2.70 states/eV per cell. The formation energy from raw total energies comes out at -37.2 kcal/mol of atoms. The space group is P2/m (10).

---

2.
An optimized crystal structure of LaBiBr2F. Source: Alexandria via LeMat-Bulk, functional PBE.

Lattice parameters (Å, degrees): 5.6495 5.6495 6.3971 90.00 90.00 90.00
Closest atoms and distances in Å follow each position.
Fractional coordinates of all 5 atoms:
La (0.0000, 0.0000, 0.0000)  2 Bi 3.20
Bi (0.0000, 0.0000, 0.5000)  4 Br 2.82
Br (0.0000, 0.5000, 0.5000)  2 Bi 2.82
Br (0.5000, 0.0000, 0.5000)  2 Bi 2.82
F (0.5000, 0.5000, 0.0000)  4 La 3.99, 8 Br 4.27

Output
Its total magnetization is 0.00 μB per cell. The density of states at the Fermi level comes out at 2.71 states/eV per cell. The formation energy from raw total energies comes out at -15.8 kcal/mol of atoms. The space group is P4/mmm (123).

---

3.
An optimized crystal structure of Hg6PI2Br. Source: Alexandria via LeMat-Bulk, functional PBE.

Lattice parameters (Å, degrees): 8.1715 8.1715 7.1717 97.60 97.60 47.27
Closest atoms and distances in Å follow each position.
Fractional coordinates of all 10 atoms:
Hg (0.1065, 0.6903, 0.6177)  1 P 2.66, 1 Hg 2.73
Hg (0.3097, 0.8935, 0.3823)  1 P 2.66, 1 Hg 2.73
Hg (0.3937, 0.3937, 0.1635)  1 P 2.69
Hg (0.6063, 0.6063, 0.8365)  1 P 2.69
Hg (0.6903, 0.1065, 0.6177)  1 P 2.66, 1 Hg 2.73
Hg (0.8935, 0.3097, 0.3823)  1 P 2.66, 1 Hg 2.73
P (0.5000, 0.5000, 0.5000)  6 Hg 2.66-2.69
I (0.2649, 0.2649, 0.7917)  3 Hg 3.06-3.15
I (0.7351, 0.7351, 0.2083)  3 Hg 3.06-3.15
Br (0.0000, 0.0000, 0.0000)  4 Hg 3.24

Output
Its total magnetization is 0.00 μB per cell. The density of states at the Fermi level comes out at 3.47 states/eV per cell. The formation energy from raw total energies comes out at -0.8 kcal/mol of atoms. The space group is C2/m (12).

---

4.
An optimized crystal structure of Tb4SnTe5. Source: Alexandria via LeMat-Bulk, functional PBE.

Lattice parameters (Å, degrees): 18.2710 18.2710 18.2710 13.86 13.86 13.86
Closest atoms and distances in Å follow each position.
Fractional coordinates of all 10 atoms:
Tb (0.0951, 0.0951, 0.0951)  6 Te 3.03-3.20
Tb (0.2995, 0.2995, 0.2995)  6 Te 3.05-3.14
Tb (0.7005, 0.7005, 0.7005)  6 Te 3.05-3.14
Tb (0.9049, 0.9049, 0.9049)  6 Te 3.03-3.20
Sn (0.5000, 0.5000, 0.5000)  6 Te 3.20
Te (0.0000, 0.0000, 0.0000)  6 Tb 3.14
Te (0.2024, 0.2024, 0.2024)  3 Sn 3.20, 3 Tb 3.20
Te (0.3981, 0.3981, 0.3981)  6 Tb 3.03-3.05
Te (0.6019, 0.6019, 0.6019)  6 Tb 3.03-3.05
Te (0.7976, 0.7976, 0.7976)  3 Sn 3.20, 3 Tb 3.20

Output
Its total magnetization is 0.00 μB per cell. The density of states at the Fermi level comes out at 3.87 states/eV per cell. The formation energy from raw total energies comes out at -24.9 kcal/mol of atoms. The space group is R-3m (166).

---

5.
An optimized crystal structure of Th3Mn. Source: Alexandria via LeMat-Bulk, functional PBE.

Lattice parameters (Å, degrees): 6.0776 6.0776 6.0776 145.24 71.21 120.04
Closest atoms and distances in Å follow each position.
Fractional coordinates of all 4 atoms:
Th (0.0000, 0.0000, 0.0000)  2 Mn 2.63
Th (0.3342, 0.5191, 0.8150)  2 Mn 2.86
Th (0.7041, 0.5191, 0.1850)  2 Mn 2.86
Mn (0.3131, 0.8131, 0.5000)  6 Th 2.63-2.86

Output
Its total magnetization is 0.00 μB per cell. The density of states at the Fermi level comes out at 6.04 states/eV per cell. The space group is Imm2 (44). As for the energy relative to the elements: 0.17 eV/atom.

---

6.
An optimized crystal structure of KHgSe. Source: Alexandria via LeMat-Bulk, functional PBE.

Lattice parameters (Å, degrees): 5.4116 5.4116 6.7914 90.00 90.00 109.34
Closest atoms and distances in Å follow each position.
Fractional coordinates of all 6 atoms:
K (0.1488, 0.8512, 0.7500)  5 Se 3.31-3.47, 2 Hg 3.54
K (0.8512, 0.1488, 0.2500)  5 Se 3.31-3.47, 2 Hg 3.54
Hg (0.5000, 0.5000, 0.0000)  2 Se 2.92
Hg (0.5000, 0.5000, 0.5000)  2 Se 2.92
Se (0.2305, 0.7695, 0.2500)  2 Hg 2.92
Se (0.7695, 0.2305, 0.7500)  2 Hg 2.92

Output
The excess energy over the best structure of this formula in the dataset comes out at 88 meV per atom. Its total magnetization is 0.00 μB per cell. The density of states at the Fermi level comes out at 6.04 states/eV per cell. The formation energy from raw total energies comes out at -10.5 kcal/mol of atoms. The space group is Cmcm (63).

---

Which formula does entry 2 have?
LaBiBr2F